Material: CaCr2F10
Method: DFT, GGA+U
State: relaxed

As for the total energy: -70.84 eV/f.u.

The space group is C2 (No. 5) and the conventional cell measures 9.0387, 6.5486 and 7.5573 Å, with angles of 90.00, 115.37 and 90.00 degrees. The distinct sites, in fractional coordinates, are Ca at (0.0000, 0.0000, 0.0000), Cr at (0.0038, 0.4601, 0.2544), F at (0.0000, 0.3831, 0.0000), F at (0.0000, 0.5276, 0.5000), F at (0.0090, 0.7341, 0.2012), F at (0.0203, 0.1845, 0.7296), F at (0.2193, 0.4431, 0.3662) and F at (0.2248, 0.4822, 0.8677).